## Np4Hg (GGA-PBE)

Data for a relaxed Np4Hg crystal.

Geometry as POSCAR:
```
Np4Hg
1.0
-0.138 0.187 5.692
-3.522 -4.478 0.062
4.476 -3.517 0.224
Np Hg
4 1
Direct
0.000 0.000 0.000
0.500 0.000 0.500
0.000 0.500 0.500
0.500 0.500 0.000
0.500 0.500 0.500
```

Computed properties:
Formation enthalpy at 0 K in eV per atom: 1.83

## SiMoSe2 (GGA-PBE)

Data for a relaxed SiMoSe2 crystal.

Geometry as POSCAR:
```
SiMoSe2
1.0
4.948 -0.020 0.000
1.551 4.699 0.000
-3.250 -2.339 2.907
Mo Se Si
1 2 1
Direct
0.750 0.250 0.500
0.000 0.000 0.000
0.250 0.750 0.500
0.500 0.500 0.000
```

Computed properties:
E_form (uncorrected) in eV per atom: 0.553

## HoLuMnAu (GGA-PBE)

Data for a relaxed HoLuMnAu crystal.

Geometry as POSCAR:
```
HoLuMnAu
1.0
-0.420 -4.011 -2.951
2.604 -4.140 1.025
-2.353 -4.085 1.657
Lu Au Ho Mn
1 1 1 1
Direct
0.000 0.000 0.000
0.750 0.750 0.750
0.500 0.500 0.500
0.250 0.250 0.250
```

Computed properties:
Formation enthalpy at 0 K in eV per atom: -0.28

## ZrBe2CrBi (GGA-PBE)

Data for a relaxed ZrBe2CrBi crystal.

Geometry as POSCAR:
```
ZrBe2CrBi
1.0
4.455 0.000 0.000
0.000 4.659 0.000
0.000 0.000 4.455
Cr Bi Zr Be
1 1 1 2
Direct
0.000 0.000 0.000
0.500 0.500 0.500
0.000 0.500 0.000
0.000 0.000 0.500
0.500 0.000 0.000
```

Computed properties:
Formation enthalpy at 0 K in eV per atom: 0.76

## CaCuPb2 (GGA-PBE)

Data for a relaxed CaCuPb2 crystal.

Geometry as POSCAR:
```
CaCuPb2
1.0
-0.636 0.235 -3.556
3.344 -1.207 -0.678
-2.744 -7.597 -0.010
Pb Ca Cu
2 1 1
Direct
0.000 0.000 0.951
0.500 0.500 0.249
0.000 0.000 0.541
0.500 0.500 0.759
```

Computed properties:
Formation enthalpy at 0 K in eV per atom: -0.07

## LiCaPO4 (GGA-PBE)

Data for a relaxed LiCaPO4 crystal.

Geometry as POSCAR:
```
LiCaPO4
1.0
6.904 0.000 0.000
3.452 4.925 0.012
3.452 1.512 4.688
Li Ca P O
2 2 2 8
Direct
0.000 0.000 0.000
0.000 0.500 0.500
0.500 0.000 0.500
0.000 0.000 0.500
0.645 0.605 0.105
0.355 0.395 0.895
0.763 0.709 0.765
0.237 0.735 0.791
0.763 0.265 0.209
0.237 0.291 0.235
0.351 0.712 0.212
0.725 0.712 0.212
0.275 0.288 0.788
0.649 0.288 0.788
```

Computed properties:
E_form (uncorrected) in eV per atom: -2.519

## La2AuI (GGA-PBE)

Data for a relaxed La2AuI crystal.

Geometry as POSCAR:
```
La2AuI
1.0
4.337 0.000 0.000
2.168 3.756 0.000
2.168 1.252 8.305
La Au I
2 1 1
Direct
0.069 0.069 0.792
0.264 0.264 0.209
0.667 0.667 0.998
0.499 0.499 0.502
```

Computed properties:
Distance to the lowest polymorph of the same formula in meV/atom: 7
E_form (uncorrected) in eV per atom: -0.903

## Te6I (GGA-PBE)

Data for a relaxed Te6I crystal.

Geometry as POSCAR:
```
Te6I
1.0
7.513 0.000 0.000
-2.504 7.084 0.000
-2.504 -3.542 6.135
Te I
6 1
Direct
0.250 0.750 0.500
0.500 0.750 0.250
0.250 0.500 0.750
0.750 0.250 0.500
0.500 0.250 0.750
0.750 0.500 0.250
0.000 0.000 0.000
```

Computed properties:
E_form (uncorrected) in eV per atom: 0.408

## Sr4SbAu (GGA-PBE)

Data for a relaxed Sr4SbAu crystal.

Geometry as POSCAR:
```
Sr4SbAu
1.0
5.201 -4.566 0.138
1.440 -3.431 5.837
-1.352 -6.774 0.456
Sr Sb Au
4 1 1
Direct
0.877 0.374 0.374
0.374 0.374 0.877
0.374 0.877 0.374
0.374 0.374 0.374
0.000 0.000 0.000
0.750 0.750 0.750
```

Computed properties:
E_form (uncorrected) in eV per atom: 0.209

## NaDyTm (GGA-PBE)

Data for a relaxed NaDyTm crystal.

Geometry as POSCAR:
```
NaDyTm
1.0
-2.413 2.381 0.868
1.806 -1.654 2.500
6.348 6.530 -0.265
Na Tm Dy
1 1 1
Direct
0.000 0.000 0.001
0.667 0.333 0.350
0.333 0.667 0.649
```

Computed properties:
Formation enthalpy at 0 K in eV per atom: 0.15
Distance to the lowest polymorph of the same formula in meV/atom: 71

## ScAs (GGA-PBE)

Data for a relaxed ScAs crystal.

Geometry as POSCAR:
```
ScAs
1.0
3.130 0.000 0.000
-1.565 2.710 0.000
0.000 0.000 10.765
As Sc
2 2
Direct
0.000 0.000 0.961
0.667 0.333 0.289
0.000 0.000 0.497
0.667 0.333 0.753
```

Computed properties:
Formation enthalpy at 0 K in eV per atom: -0.13

## SrPbO2 (GGA-PBE)

Data for a relaxed SrPbO2 crystal.

Geometry as POSCAR:
```
SrPbO2
1.0
3.183 0.000 0.000
0.000 3.183 0.000
0.000 0.000 6.377
Pb Sr O
1 1 2
Direct
0.500 0.500 0.000
0.500 0.500 0.500
0.000 0.000 0.737
0.000 0.000 0.263
```

Computed properties:
E_form (uncorrected) in eV per atom: -1.474

Values for E, eV per cell, ordered as above
-42.9 -21.0 -22.7 -25.7 -13.8 -93.6 -18.3 -17.5 -12.9 -9.9 -22.5 -21.2
Values for magnetization, μB per atom, ordered as above
2.2490 0.1325 0.8737 0.2197 0.0000 0.0000 0.0000 0.0000 0.0000 0.0004 0.0000 0.0000